*one*
Crystalline LiMg6Ag at its relaxed geometry. Source: Alexandria, functional GGA-PBE.

POSCAR file:
```
LiMg6Ag
1.0
5.965 0.842 0.000
2.246 5.964 0.000
1.123 2.982 5.414
Li Mg Ag
1 6 1
Direct
0.000 0.000 0.000
0.753 0.467 0.577
0.753 0.044 0.423
0.247 0.956 0.577
0.247 0.533 0.423
0.747 0.750 0.000
0.253 0.250 0.000
0.500 0.500 0.000
```

Summary:
M_tot, μB per atom: 0.00

=====

*two*
Crystalline LiMg6Ag at its relaxed geometry. Source: Alexandria, functional GGA-PBE.

POSCAR file:
```
LiMg6Ag
1.0
-2.502 3.653 -1.778
-3.294 -0.602 3.399
0.707 6.090 5.113
Li Mg Ag
1 6 1
Direct
0.000 0.000 0.000
0.750 0.750 0.499
0.612 0.112 0.776
0.112 0.612 0.776
0.388 0.888 0.224
0.250 0.250 0.501
0.888 0.388 0.224
0.500 0.500 0.000
```

Summary:
M_tot, μB per atom: 0.00

=====

How do the energies compare? Relative to the most stable structure, in eV/atom: *one* 0.188; *two* 0.000.

=====

*one*
Crystalline Li7MgAg3 at its relaxed geometry. Source: Alexandria, functional GGA-PBE.

POSCAR file:
```
Li7MgAg3
1.0
-1.580 -6.233 -1.421
4.592 -1.941 3.407
-5.452 0.820 2.464
Li Mg Ag
7 1 3
Direct
0.088 0.160 0.840
0.088 0.160 0.320
0.120 0.667 0.333
0.476 0.840 0.160
0.476 0.321 0.160
0.476 0.840 0.679
0.088 0.680 0.840
0.447 0.333 0.667
0.785 0.502 0.498
0.785 0.502 0.005
0.785 0.995 0.498
```

Summary:
M_tot, μB per atom: 0.00

=====

*two*
Crystalline Li7MgAg3 at its relaxed geometry. Source: Alexandria, functional GGA-PBE.

POSCAR file:
```
Li7MgAg3
1.0
3.036 0.000 0.000
-1.518 11.344 0.000
0.000 0.000 11.458
Li Mg Ag
14 2 6
Direct
0.398 0.795 0.750
0.602 0.205 0.250
0.492 0.984 0.382
0.508 0.016 0.618
0.508 0.016 0.882
0.492 0.984 0.118
0.329 0.657 0.417
0.671 0.343 0.583
0.200 0.401 0.381
0.800 0.599 0.619
0.800 0.599 0.881
0.200 0.401 0.119
0.329 0.657 0.083
0.671 0.343 0.917
0.902 0.803 0.250
0.098 0.197 0.750
0.086 0.171 0.473
0.914 0.829 0.527
0.225 0.450 0.750
0.775 0.550 0.250
0.086 0.171 0.027
0.914 0.829 0.973
```

Summary:
M_tot, μB per atom: 0.00

=====

How do the energies compare? Relative to the most stable structure, in eV/atom: *one* 0.074; *two* 0.000.